BeNb2PdI: optimized geometry, PBEsol.

Geometry as extended XYZ:
```
5
Lattice="-2.1310 -1.6090 3.9304 4.3225 -1.9213 1.5570 1.0620 4.2737 2.3253" Properties=species:S:1:pos:R:3 pbc="T T T"
I 0.0000 0.0000 0.0000
Be 1.6268 0.3717 3.9064
Nb 0.5310 2.1369 1.1627
Nb 2.1612 -0.9607 0.7785
Pd -1.0655 -0.8045 1.9652
```

Results
The formation energy without anion corrections is 1745 meV/atom. The calculation puts the calculated total energy at -24.64 eV per cell.